Arrangement w

VASP calculation (GGA-PBE) on an optimized crystal structure of SnSb3Mo.

```
SnSb3Mo
1.0
5.273 0.000 0.000
0.000 5.273 0.000
0.000 0.000 5.273
Sb Mo Sn
3 1 1
Direct
0.000 0.500 0.000 Sb
0.500 0.000 0.000 Sb
0.000 0.000 0.500 Sb
0.000 0.000 0.000 Mo
0.500 0.500 0.500 Sn
```

Summary:
The calculation puts the total magnetization at 0.82 μB per cell.

=====

Arrangement x

VASP calculation (GGA-PBE) on an optimized crystal structure of SnSb3Mo.

```
SnSb3Mo
1.0
5.562 0.000 0.000
0.000 5.562 0.000
0.000 0.000 5.562
Sb Sn Mo
3 1 1
Direct
0.500 0.000 0.000 Sb
0.000 0.000 0.500 Sb
0.000 0.500 0.000 Sb
0.000 0.000 0.000 Sn
0.500 0.500 0.500 Mo
```

Summary:
The calculation puts the total magnetization at 3.60 μB per cell.

=====

Name the most stable of them. arrangement w.

=====

Arrangement w

VASP calculation (GGA-PBE) on an optimized crystal structure of SnSb2TeMo.

```
SnSb2TeMo
1.0
-1.226 5.423 -0.548
-3.735 -0.427 4.133
4.005 1.284 3.752
Sb Sn Te Mo
2 1 1 1
Direct
0.000 0.500 0.000 Sb
0.500 0.000 0.000 Sb
0.000 0.000 0.000 Sn
0.000 0.000 0.500 Te
0.500 0.500 0.500 Mo
```

Summary:
The calculation puts the total magnetization at 3.48 μB per cell.

=====

Arrangement x

VASP calculation (GGA-PBE) on an optimized crystal structure of SnSb2TeMo.

```
SnSb2TeMo
1.0
-3.093 3.993 -1.622
-4.305 -2.953 0.940
-0.194 1.851 4.925
Sb Te Mo Sn
2 1 1 1
Direct
0.500 0.000 0.000 Sb
0.000 0.500 0.000 Sb
0.000 0.000 0.500 Te
0.000 0.000 0.000 Mo
0.500 0.500 0.500 Sn
```

Summary:
The calculation puts the total magnetization at 0.56 μB per cell.

=====

Name the most stable of them. arrangement x.

=====

Arrangement w

VASP calculation (GGA-PBE) on an optimized crystal structure of SrSb2Mo.

```
SrSb2Mo
1.0
-0.664 -1.931 4.702
0.907 2.914 4.119
-3.901 1.615 2.906
Sr Sb Mo
1 2 1
Direct
0.000 0.000 0.000 Sr
0.750 0.750 0.750 Sb
0.250 0.250 0.250 Sb
0.500 0.500 0.500 Mo
```

Summary:
The calculation puts the total magnetization at 0.96 μB per cell.

=====

Arrangement x

VASP calculation (GGA-PBE) on an optimized crystal structure of SrSb2Mo.

```
SrSb2Mo
1.0
-1.589 -0.486 -4.367
-0.826 -3.828 -2.550
-6.586 -1.093 0.756
Sb Mo Sr
2 1 1
Direct
0.519 0.519 0.427 Sb
0.981 0.981 0.073 Sb
0.250 0.250 0.250 Mo
0.750 0.750 0.750 Sr
```

Summary:
The calculation puts the total magnetization at 0.00 μB per cell.

=====

Arrangement y

VASP calculation (GGA-PBE) on an optimized crystal structure of SrSb2Mo.

```
SrSb2Mo
1.0
-3.972 1.476 -3.430
0.922 -4.158 -3.404
-1.470 0.079 5.249
Sb Sr Mo
2 1 1
Direct
0.466 0.466 0.000 Sb
0.034 0.034 0.000 Sb
0.750 0.250 0.500 Sr
0.250 0.750 0.500 Mo
```

Summary:
The calculation puts the total magnetization at 2.06 μB per cell.

=====

Arrangement z

VASP calculation (GGA-PBE) on an optimized crystal structure of SrSb2Mo.

```
SrSb2Mo
1.0
-2.208 -3.467 3.069
-0.713 -2.234 -4.562
3.527 -1.907 0.383
Sb Sr Mo
2 1 1
Direct
0.500 0.500 0.000 Sb
0.000 0.000 0.000 Sb
0.500 0.000 0.500 Sr
0.000 0.500 0.500 Mo
```

Summary:
The calculation puts the total magnetization at 2.78 μB per cell.

=====

Name the most stable of them. arrangement x.

=====

Arrangement w

VASP calculation (GGA-PBE) on an optimized crystal structure of SrSb2Mo.

```
SrSb2Mo
1.0
5.231 0.000 0.000
2.616 4.531 0.000
2.616 1.510 4.271
Mo Sr Sb
1 1 2
Direct
0.500 0.500 0.500 Mo
0.750 0.750 0.750 Sr
0.250 0.250 0.250 Sb
0.000 0.000 0.000 Sb
```

Summary:
The calculation puts the total magnetization at 2.05 μB per cell.

=====

Arrangement x

VASP calculation (GGA-PBE) on an optimized crystal structure of SrSb2Mo.

```
SrSb2Mo
1.0
5.216 0.000 0.000
0.000 4.182 -0.007
0.000 0.011 5.341
Mo Sb Sr
1 2 1
Direct
0.500 0.000 0.790 Mo
0.500 0.000 0.307 Sb
0.000 0.000 0.942 Sb
0.000 0.500 0.461 Sr
```

Summary:
The calculation puts the total magnetization at 0.00 μB per cell.

=====

Name the most stable of them. arrangement x.

=====

Arrangement w

VASP calculation (GGA-PBE) on an optimized crystal structure of SrSbTe2Mo.

```
SrSbTe2Mo
1.0
5.549 0.000 0.000
0.000 5.549 0.000
0.000 0.000 5.194
Mo Te Sb Sr
1 2 1 1
Direct
0.000 0.000 0.000 Mo
0.000 0.500 0.000 Te
0.500 0.000 0.000 Te
0.000 0.000 0.500 Sb
0.500 0.500 0.500 Sr
```

Summary:
The calculation puts the total magnetization at 1.61 μB per cell.

=====

Arrangement x

VASP calculation (GGA-PBE) on an optimized crystal structure of SrSbTe2Mo.

```
SrSbTe2Mo
1.0
5.947 0.000 0.000
0.000 5.947 0.000
0.000 0.000 5.832
Sb Mo Te Sr
1 1 2 1
Direct
0.000 0.000 0.500 Sb
0.500 0.500 0.500 Mo
0.000 0.500 0.000 Te
0.500 0.000 0.000 Te
0.000 0.000 0.000 Sr
```

Summary:
The calculation puts the total magnetization at 0.34 μB per cell.

=====

Name the most stable of them. arrangement w.

=====

Arrangement w

VASP calculation (GGA-PBE) on an optimized crystal structure of SrSb2TeMo.

```
SrSb2TeMo
1.0
-1.301 -1.839 -4.638
4.968 -0.925 -1.026
-0.550 -5.586 2.370
Te Sb Sr Mo
1 2 1 1
Direct
0.000 0.000 0.500 Te
0.500 0.000 0.000 Sb
0.000 0.500 0.000 Sb
0.500 0.500 0.500 Sr
0.000 0.000 0.000 Mo
```

Summary:
The calculation puts the total magnetization at 0.83 μB per cell.

=====

Arrangement x

VASP calculation (GGA-PBE) on an optimized crystal structure of SrSb2TeMo.

```
SrSb2TeMo
1.0
-2.567 -4.276 -2.898
1.684 -3.752 4.044
-4.925 0.961 2.943
Sb Mo Te Sr
2 1 1 1
Direct
0.500 0.000 0.000 Sb
0.000 0.500 0.000 Sb
0.500 0.500 0.500 Mo
0.000 0.000 0.500 Te
0.000 0.000 0.000 Sr
```

Summary:
The calculation puts the total magnetization at 0.00 μB per cell.

=====

Name the most stable of them. arrangement w.

=====

Arrangement w

VASP calculation (GGA-PBE) on an optimized crystal structure of TcSbMo.

```
TcSbMo
1.0
-0.425 0.226 4.322
-2.529 -2.856 2.088
1.794 -3.054 2.524
Mo Tc Sb
1 1 1
Direct
0.000 0.000 0.000 Mo
0.750 0.750 0.750 Tc
0.500 0.500 0.500 Sb
```

Summary:
The calculation puts the total magnetization at 0.00 μB per cell.

=====

Arrangement x

VASP calculation (GGA-PBE) on an optimized crystal structure of TcSbMo.

```
TcSbMo
1.0
-2.442 -0.787 -3.661
4.435 0.463 -0.328
0.336 -2.935 0.407
Tc Mo Sb
1 1 1
Direct
0.333 0.667 0.500 Tc
0.000 0.000 0.000 Mo
0.667 0.333 0.500 Sb
```

Summary:
The calculation puts the total magnetization at 0.00 μB per cell.

=====

Name the most stable of them. arrangement w.

=====

Arrangement w

VASP calculation (GGA-PBE) on an optimized crystal structure of TcSbMo.

```
TcSbMo
1.0
5.501 0.012 -0.013
4.586 3.038 -0.013
0.915 0.277 3.013
Tc Mo Sb
1 1 1
Direct
0.669 0.669 0.331 Tc
0.002 0.002 0.998 Mo
0.329 0.329 0.671 Sb
```

Summary:
The calculation puts the total magnetization at 0.00 μB per cell.

=====

Arrangement x

VASP calculation (GGA-PBE) on an optimized crystal structure of TcSbMo.

```
TcSbMo
1.0
4.781 -0.001 0.001
1.980 4.352 -0.001
-2.953 -2.840 2.465
Mo Sb Tc
1 1 1
Direct
0.996 0.996 0.000 Mo
0.333 0.333 0.000 Sb
0.670 0.670 0.000 Tc
```

Summary:
The calculation puts the total magnetization at 0.00 μB per cell.

=====

Arrangement y

VASP calculation (GGA-PBE) on an optimized crystal structure of TcSbMo.

```
TcSbMo
1.0
3.040 0.000 0.000
-1.520 2.633 0.000
0.000 0.000 6.624
Mo Sb Tc
1 1 1
Direct
0.000 0.000 0.978 Mo
0.667 0.333 0.336 Sb
0.333 0.667 0.685 Tc
```

Summary:
The calculation puts the total magnetization at 0.00 μB per cell.

=====

Name the most stable of them. arrangement w.

=====

Arrangement w

VASP calculation (GGA-PBE) on an optimized crystal structure of Tc3SbMo.

```
Tc3SbMo
1.0
-1.034 -3.931 -2.382
2.734 1.436 -3.557
3.694 -2.164 1.966
Tc Mo Sb
3 1 1
Direct
0.000 0.500 0.000 Tc
0.500 0.000 0.000 Tc
0.000 0.000 0.500 Tc
0.500 0.500 0.500 Mo
0.000 0.000 0.000 Sb
```

Summary:
The calculation puts the total magnetization at 0.00 μB per cell.

=====

Arrangement x

VASP calculation (GGA-PBE) on an optimized crystal structure of Tc3SbMo.

```
Tc3SbMo
1.0
-1.718 3.058 3.131
-0.855 -3.533 2.981
4.292 0.520 1.848
Tc Sb Mo
3 1 1
Direct
0.500 0.000 0.000 Tc
0.000 0.500 0.000 Tc
0.000 0.000 0.500 Tc
0.500 0.500 0.500 Sb
0.000 0.000 0.000 Mo
```

Summary:
The calculation puts the total magnetization at 1.06 μB per cell.

=====

Name the most stable of them. arrangement x.

=====

Arrangement w

VASP calculation (GGA-PBE) on an optimized crystal structure of TcSb2Mo.

```
TcSb2Mo
1.0
0.000 3.292 3.292
3.292 0.000 3.292
3.292 3.292 0.000
Sb Tc Mo
2 1 1
Direct
0.250 0.250 0.250 Sb
0.750 0.750 0.750 Sb
0.500 0.500 0.500 Tc
0.000 0.000 0.000 Mo
```

Summary:
The calculation puts the total magnetization at 0.00 μB per cell.

=====

Arrangement x

VASP calculation (GGA-PBE) on an optimized crystal structure of TcSb2Mo.

```
TcSb2Mo
1.0
-3.110 -0.098 0.382
0.017 -3.067 -0.644
1.044 -1.690 8.074
Tc Sb Mo
1 2 1
Direct
0.000 0.000 0.529 Tc
0.000 0.000 0.944 Sb
0.500 0.500 0.314 Sb
0.500 0.500 0.713 Mo
```

Summary:
The calculation puts the total magnetization at 0.00 μB per cell.

=====

Arrangement y

VASP calculation (GGA-PBE) on an optimized crystal structure of TcSb2Mo.

```
TcSb2Mo
1.0
8.606 -0.002 -0.001
8.013 3.137 -0.001
8.013 1.512 2.749
Sb Tc Mo
2 1 1
Direct
0.502 0.502 0.502 Sb
0.998 0.998 0.998 Sb
0.250 0.250 0.250 Tc
0.750 0.750 0.750 Mo
```

Summary:
The calculation puts the total magnetization at 0.00 μB per cell.

=====

Arrangement z

VASP calculation (GGA-PBE) on an optimized crystal structure of TcSb2Mo.

```
TcSb2Mo
1.0
-4.234 0.918 -2.391
-1.342 -2.557 1.395
-1.421 2.681 3.547
Tc Sb Mo
1 2 1
Direct
0.000 0.375 0.514 Tc
0.000 0.875 0.005 Sb
0.500 0.375 0.248 Sb
0.500 0.875 0.733 Mo
```

Summary:
The calculation puts the total magnetization at 0.00 μB per cell.

=====

Name the most stable of them. arrangement x.

=====

Arrangement w

VASP calculation (GGA-PBE) on an optimized crystal structure of TcSb3Mo.

```
TcSb3Mo
1.0
5.139 0.000 0.000
0.000 5.139 0.000
0.000 0.000 5.139
Sb Mo Tc
3 1 1
Direct
0.500 0.000 0.000 Sb
0.000 0.000 0.500 Sb
0.000 0.500 0.000 Sb
0.500 0.500 0.500 Mo
0.000 0.000 0.000 Tc
```

Summary:
The calculation puts the total magnetization at 3.70 μB per cell.

=====

Arrangement x

VASP calculation (GGA-PBE) on an optimized crystal structure of TcSb3Mo.

```
TcSb3Mo
1.0
3.471 -0.001 0.000
-1.736 6.816 -1.845
0.005 0.110 9.100
Sb Mo Tc
6 2 2
Direct
0.443 0.454 0.414 Sb
0.837 0.243 0.683 Sb
0.638 0.845 0.974 Sb
0.913 0.394 0.085 Sb
0.108 0.785 0.645 Sb
0.714 0.997 0.376 Sb
0.266 0.101 0.171 Mo
0.285 0.139 0.888 Mo
0.482 0.534 0.729 Tc
0.069 0.706 0.330 Tc
```

Summary:
The calculation puts the total magnetization at 0.00 μB per cell.

=====

Name the most stable of them. arrangement x.

=====

Arrangement w

VASP calculation (GGA-PBE) on an optimized crystal structure of SbTe3Mo.

```
SbTe3Mo
1.0
5.695 0.000 0.000
0.000 5.695 0.000
0.000 0.000 5.695
Mo Te Sb
1 3 1
Direct
0.500 0.500 0.500 Mo
0.000 0.000 0.500 Te
0.500 0.000 0.000 Te
0.000 0.500 0.000 Te
0.000 0.000 0.000 Sb
```

Summary:
The calculation puts the total magnetization at 3.61 μB per cell.

=====

Arrangement x

VASP calculation (GGA-PBE) on an optimized crystal structure of SbTe3Mo.

```
SbTe3Mo
1.0
-4.433 2.102 1.953
-2.173 -0.112 -4.812
-1.874 -4.843 0.959
Te Mo Sb
3 1 1
Direct
0.000 0.000 0.500 Te
0.000 0.500 0.000 Te
0.500 0.000 0.000 Te
0.000 0.000 0.000 Mo
0.500 0.500 0.500 Sb
```

Summary:
The calculation puts the total magnetization at 0.00 μB per cell.

=====

Name the most stable of them. arrangement x.